(1)
## ScOs2SeS (GGA-PBE)

Data for an optimized crystal structure of ScOs2SeS.

Cell lengths 4.5222, 4.5222, 5.0565 Å; angles 90.00, 90.00, 90.00 degrees
Space group P4/mmm (No. 123)
Asymmetric unit:
Sc (0.0000, 0.0000, 0.0000) x1
Os (0.0000, 0.5000, 0.5000) x2
Se (0.0000, 0.0000, 0.5000) x1
S (0.5000, 0.5000, 0.0000) x1

## Properties
**Mass density**: 8614 kg/m³
**DOS(E_F)**: 0.68 states/eV per atom
**Magnetization**: 0.2314 μB/atom
**Calculated volume**: 103 Å³ per cell
**Formation energy without anion corrections**: 1.0757 eV/atom

---

(2)
## Na2Cd3Ga2 (GGA-PBE)

Data for an optimized crystal structure of Na2Cd3Ga2.

Cell lengths 10.8776, 4.7507, 6.8284 Å; angles 90.00, 107.83, 90.00 degrees
Space group C2/m (No. 12)
Asymmetric unit:
Na (0.1214, 0.0000, 0.3488) x4
Cd (0.0000, 0.5000, 0.0000) x2
Cd (0.2026, 0.0000, 0.8524) x4
Ga (0.0955, 0.5000, 0.6684) x4

## Properties
**Energy relative to the elements**: -0.079 eV per atom
**Mass density**: 5167 kg/m³
**DOS(E_F)**: 0.26 states/eV per atom
**Magnetization**: 0.0000 μB/atom
**Calculated volume**: 336 Å³ per cell